Material: TbV2BiO8
Method: DFT, PBE with a Hubbard U
State: optimized geometry

a = 5.8240 Å, b = 5.8240 Å, c = 6.7306 Å
α = 90.00°, β = 90.00°, γ = 120.00°
Space group P-3m1 (No. 164)
Inequivalent atoms, fractional coordinates:
Tb1 0.0000 0.0000 0.0000
V1 0.3333 0.6667 0.3118
Bi1 0.0000 0.0000 0.5000
O1 0.1639 0.3277 0.2346
O2 0.3333 0.6667 0.5563

Output
The energy is -88.244 eV per formula unit. The density of states at the Fermi level is 0.0 states/eV per cell. The calculation puts the volume at 197.7 Å³/cell.



Material: TbBiWO6
Method: DFT, PBE with a Hubbard U
State: optimized geometry

a = 5.6308 Å, b = 5.6308 Å, c = 9.6187 Å
α = 90.00°, β = 90.00°, γ = 120.00°
Space group P-31c (No. 163)
Inequivalent atoms, fractional coordinates:
Tb1 0.3333 0.6667 0.2500
Bi1 0.0000 0.0000 0.0000
W1 0.3333 0.6667 0.7500
O1 0.0422 0.3781 0.6369

Output
The energy is -65.602 eV per formula unit. The density of states at the Fermi level is 0.0 states/eV per cell. The calculation puts the volume at 264.1 Å³/cell.



Material: TbBi2WO8
Method: DFT, PBE with a Hubbard U
State: optimized geometry

a = 5.1560 Å, b = 6.8359 Å, c = 5.1625 Å
α = 90.00°, β = 90.14°, γ = 90.00°
Space group P2/m (No. 10)
Inequivalent atoms, fractional coordinates:
Tb1 0.0000 0.0000 0.0000
Bi1 0.5000 0.2540 0.5000
W1 0.0000 0.5000 0.0000
O1 0.1796 0.2839 0.1784
O2 0.2665 0.5000 0.7324
O3 0.3092 0.0000 0.6894

Output
The energy is -82.071 eV per formula unit. The density of states at the Fermi level is 4.0 states/eV per cell. The calculation puts the volume at 182.0 Å³/cell.



Q: Which of these has the lowest energy?
A: TbV2BiO8



Copy entry 1 word for word.
Material: TbV2BiO8
Method: DFT, PBE with a Hubbard U
State: optimized geometry

a = 5.8240 Å, b = 5.8240 Å, c = 6.7306 Å
α = 90.00°, β = 90.00°, γ = 120.00°
Space group P-3m1 (No. 164)
Inequivalent atoms, fractional coordinates:
Tb1 0.0000 0.0000 0.0000
V1 0.3333 0.6667 0.3118
Bi1 0.0000 0.0000 0.5000
O1 0.1639 0.3277 0.2346
O2 0.3333 0.6667 0.5563

Output
The energy is -88.244 eV per formula unit. The density of states at the Fermi level is 0.0 states/eV per cell. The calculation puts the volume at 197.7 Å³/cell.